The following is a DFT calculation (GGA+U) of an optimized crystal structure of CoPtF2.

Properties
Magnetization: 3.402 μB per formula unit
Polymorph energy (0 for the lowest one): 951 meV/atom
Volume: 51 Å³ per cell

Cell lengths 4.1707, 4.1707, 4.1707 Å; angles 60.00, 60.00, 60.00 degrees
With the nearest neighbours (Å) after each atom.
Fractional positions:
Co1 0.0000 0.0000 0.0000  8 F 2.55
Pt1 0.5000 0.5000 0.5000  8 F 2.55
F1 0.2500 0.2500 0.2500  4 Pt 2.55, 4 Co 2.55
F2 0.7500 0.7500 0.7500  4 Co 2.55, 4 Pt 2.55